(1)
Compound: CoOsSeN2
Source: Alexandria
Functional: PBEsol
Structure: relaxed

abc: 3.548 3.548 4.908
angles: 90.00 90.00 90.00
Fractional coordinates of all 5 atoms:
1 Co 0.000 0.000 0.000
2 N 0.500 0.000 0.000
3 N 0.000 0.500 0.000
4 Os 0.500 0.500 0.500
5 Se 0.000 0.000 0.500

Summary:
- Magnetic moment: 0.00 μB per formula unit
- V: 62 Å³ per cell
- Raw formation energy: 1.469 eV/atom



(2)
Compound: CoPN2
Source: Alexandria
Functional: PBEsol
Structure: relaxed

abc: 2.798 2.798 5.624
angles: 75.59 75.59 60.00
Fractional coordinates of all 4 atoms:
1 N 0.896 0.896 0.313
2 Co 0.500 0.500 0.500
3 P 0.000 0.000 0.000
4 N 0.104 0.104 0.687

Summary:
- Magnetic moment: 0.00 μB per formula unit
- V: 37 Å³ per cell
- Raw formation energy: 0.188 eV/atom



(3)
Compound: CoP3N
Source: Alexandria
Functional: PBEsol
Structure: relaxed

abc: 4.182 4.182 4.182
angles: 90.00 90.00 90.00
Fractional coordinates of all 5 atoms:
1 P 0.500 0.000 0.000
2 Co 0.000 0.000 0.000
3 P 0.000 0.500 0.000
4 P 0.000 0.000 0.500
5 N 0.500 0.500 0.500

Summary:
- Magnetic moment: 0.00 μB per formula unit
- V: 73 Å³ per cell
- Raw formation energy: 1.367 eV/atom



(4)
Compound: CoPbN2
Source: Alexandria
Functional: PBEsol
Structure: relaxed

abc: 3.410 3.410 6.253
angles: 74.18 74.18 60.00
Last column: magnetic moment on the atom in μB.
Fractional coordinates of all 4 atoms:
1 Co 0.000 0.000 0.000  1.86
2 Pb 0.500 0.500 0.500  0.03
3 N 0.902 0.902 0.294  0.05
4 N 0.098 0.098 0.706  0.05

Summary:
- Magnetic moment: 2.10 μB per formula unit
- V: 60 Å³ per cell
- Raw formation energy: 0.933 eV/atom



(5)
Compound: CoPdN2
Source: Alexandria
Functional: PBEsol
Structure: relaxed

abc: 2.957 2.957 6.023
angles: 75.79 75.79 60.00
Last column: magnetic moment on the atom in μB.
Fractional coordinates of all 4 atoms:
1 Pd 0.500 0.500 0.500  0.01
2 N 0.101 0.101 0.698  0.02
3 Co 0.000 0.000 0.000  0.95
4 N 0.899 0.899 0.302  0.02

Summary:
- Magnetic moment: 1.01 μB per formula unit
- V: 44 Å³ per cell
- Raw formation energy: 0.765 eV/atom



(6)
Compound: CoPt2N
Source: Alexandria
Functional: PBEsol
Structure: relaxed

abc: 4.659 4.659 6.565
angles: 110.78 110.78 90.00
Last column: magnetic moment on the atom in μB.
Fractional coordinates of all 8 atoms:
1 Co 0.250 0.750 0.500  1.95
2 Co 0.000 0.000 0.000  1.95
3 Pt 0.625 0.536 0.750  0.23
4 Pt 0.464 0.875 0.250  0.23
5 Pt 0.125 0.214 0.750  0.23
6 N 0.500 0.500 0.000  0.01
7 N 0.750 0.250 0.500  0.01
8 Pt 0.786 0.375 0.250  0.23

Summary:
- Magnetic moment: 2.49 μB per formula unit
- V: 123 Å³ per cell
- Raw formation energy: 0.881 eV/atom



(7)
Compound: Co2Pt2N
Source: Alexandria
Functional: PBEsol
Structure: relaxed

abc: 3.578 3.578 6.245
angles: 106.65 106.65 90.00
Last column: magnetic moment on the atom in μB.
Fractional coordinates of all 5 atoms:
1 Pt 0.250 0.750 0.500  0.41
2 Pt 0.750 0.250 0.500  0.41
3 Co 0.593 0.593 0.187  2.13
4 N 0.000 0.000 0.000  0.90
5 Co 0.407 0.407 0.813  2.13

Summary:
- Magnetic moment: 6.40 μB per formula unit
- V: 73 Å³ per cell
- Raw formation energy: 1.396 eV/atom



(8)
Compound: CoRuPtN2
Source: Alexandria
Functional: PBEsol
Structure: relaxed

abc: 3.503 3.503 5.123
angles: 90.00 90.00 90.00
Fractional coordinates of all 5 atoms:
1 N 0.500 0.000 0.000
2 Ru 0.000 0.000 0.500
3 Co 0.000 0.000 0.000
4 Pt 0.500 0.500 0.500
5 N 0.000 0.500 0.000

Summary:
- Magnetic moment: 0.00 μB per formula unit
- V: 63 Å³ per cell
- Raw formation energy: 1.452 eV/atom



(9)
Compound: CoTePtN2
Source: Alexandria
Functional: PBEsol
Structure: relaxed

abc: 3.694 3.694 6.624
angles: 90.00 90.00 90.00
Last column: magnetic moment on the atom in μB.
Fractional coordinates of all 5 atoms:
1 Pt 0.000 0.000 0.000  -0.01
2 Te 0.000 0.000 0.500  0.02
3 N 0.500 0.000 0.000  0.02
4 Co 0.500 0.500 0.500  1.52
5 N 0.000 0.500 0.000  0.02

Summary:
- Magnetic moment: 1.68 μB per formula unit
- V: 90 Å³ per cell
- Raw formation energy: 1.270 eV/atom



(10)
Compound: CoTe2PtN
Source: Alexandria
Functional: PBEsol
Structure: relaxed

abc: 3.588 5.453 5.453
angles: 90.00 90.00 90.00
Last column: magnetic moment on the atom in μB.
Fractional coordinates of all 5 atoms:
1 Te 0.000 0.500 0.000  0.00
2 N 0.500 0.000 0.000  0.00
3 Pt 0.000 0.000 0.000  0.00
4 Co 0.500 0.500 0.500  2.02
5 Te 0.000 0.000 0.500  0.00

Summary:
- Magnetic moment: 2.04 μB per formula unit
- V: 107 Å³ per cell
- Raw formation energy: 0.863 eV/atom



(11)
Compound: RbCo2N
Source: Alexandria
Functional: PBEsol
Structure: relaxed

abc: 5.754 5.754 5.754
angles: 60.00 60.00 60.00
Last column: magnetic moment on the atom in μB.
Fractional coordinates of all 8 atoms:
1 N 0.000 0.000 0.000  -0.01
2 N 0.250 0.250 0.250  -0.01
3 Rb 0.750 0.750 0.750  -0.01
4 Co 0.625 0.125 0.125  0.22
5 Co 0.125 0.125 0.625  0.22
6 Co 0.125 0.125 0.125  0.22
7 Rb 0.500 0.500 0.500  -0.01
8 Co 0.125 0.625 0.125  0.22

Summary:
- Magnetic moment: 0.39 μB per formula unit
- V: 135 Å³ per cell
- Raw formation energy: 0.306 eV/atom



(12)
Compound: RbTi2CoN
Source: Alexandria
Functional: PBEsol
Structure: relaxed

abc: 3.821 4.328 4.328
angles: 90.00 90.00 90.00
Fractional coordinates of all 5 atoms:
1 N 0.000 0.000 0.000
2 Rb 0.500 0.500 0.500
3 Ti 0.000 0.500 0.000
4 Ti 0.000 0.000 0.500
5 Co 0.500 0.000 0.000

Summary:
- Magnetic moment: 0.00 μB per formula unit
- V: 72 Å³ per cell
- Raw formation energy: 0.436 eV/atom